(1)
La2Zn15Ga2 | PBE-GGA | relaxed

```
19
Lattice="4.612 2.662 4.403 -4.612 2.662 4.403 0.000 -5.325 4.403" Properties=species:S:1:pos:R:3 pbc="T T T"
La 0.000 0.000 2.185
La 0.000 0.000 11.024
Zn -2.306 -1.331 4.403
Zn 0.000 -2.741 4.252
Zn -2.374 1.371 4.252
Zn -1.383 -2.396 6.604
Zn -2.767 0.000 6.604
Zn -2.374 -1.371 8.957
Zn -2.306 1.331 8.806
Zn 1.383 -2.396 6.604
Zn 0.000 2.662 4.403
Zn -1.383 2.396 6.604
Zn 2.374 1.371 4.252
Zn 2.767 0.000 6.604
Zn 1.383 2.396 6.604
Zn 2.374 -1.371 8.957
Zn 0.000 2.741 8.957
Ga 0.000 0.000 5.306
Ga 0.000 0.000 7.903
```

symmetry: R-3m (166)
ΔH_f (0 K): -4.97 eV per formula unit
V: 324.35 Å³/cell
electronic total energy: -39.99 eV/cell
density of states at the Fermi level: 0.3633 states/eV per atom

=====

(2)
Cr2CuMo | PBE-GGA | relaxed

```
4
Lattice="2.588 -4.260 0.000 2.588 4.260 0.000 -0.893 0.000 2.343" Properties=species:S:1:pos:R:3 pbc="T T T"
Cr 1.294 2.130 0.000
Cr 1.294 -2.130 0.000
Cu -0.446 0.000 1.172
Mo 2.141 0.000 1.172
```

E above lowest polymorph: 86.9 meV per atom
symmetry: C2/m (12)
ΔH_f (0 K): 1.12 eV per formula unit
V: 51.66 Å³/cell
electronic total energy: -33.05 eV/cell
density of states at the Fermi level: 1.0046 states/eV per atom

=====

(3)
In2MoCl | PBE-GGA | relaxed

```
4
Lattice="3.223 0.000 0.000 0.000 3.223 0.000 0.000 0.000 8.179" Properties=species:S:1:pos:R:3 pbc="T T T"
In 0.000 0.000 1.791
In 0.000 0.000 6.387
Mo 1.611 1.611 0.000
Cl 1.611 1.611 4.089
```

E above lowest polymorph: 84.3 meV per atom
symmetry: P4/mmm (123)
formation energy (no corrections): 0.165 eV per atom
V: 84.94 Å³/cell
electronic total energy: -17.49 eV/cell
density of states at the Fermi level: 0.6407 states/eV per atom

=====

- What is the density of states at the Fermi level in the second record?
  1.0046 states/eV per atom

=====

- Which value of density of states at the Fermi level does entry 1 give?
  0.3633 states/eV per atom

=====

- The lowest V belongs to which entry?
  Cr2CuMo

=====

- Among the records above, which one has the highest electronic total energy?
  In2MoCl